[1]
A plane-wave DFT calculation with PBE was carried out for Zn2In2Ge after structural relaxation.

a = 6.8591 Å, b = 6.8591 Å, c = 6.8591 Å
α = 143.96°, β = 143.96°, γ = 51.88°
With the nearest neighbours (Å) after each atom.
Positions (direct):
Zn: 0.0966 0.0966 0.0000  1 Zn 2.38
Zn: 0.9034 0.9034 0.0000  1 Zn 2.38
In: 0.2500 0.7500 0.5000  4 Zn 2.84, 4 In 3.00
In: 0.7500 0.2500 0.5000  4 Zn 2.84, 4 In 3.00
Ge: 0.5000 0.5000 0.0000  8 Zn 3.23

Output
The magnetization comes out at 0.0 μB per cell. The calculation puts the energy above the most stable polymorph in this dataset at 15.0 kJ/mol of atoms.

[2]
A plane-wave DFT calculation with PBE was carried out for Zn3In12Ge5 after structural relaxation.

a = 14.0834 Å, b = 14.0834 Å, c = 14.0834 Å
α = 109.47°, β = 109.47°, γ = 109.47°
With the nearest neighbours (Å) after each atom.
Positions (direct):
Zn: 0.1250 0.2500 0.3750  4 In 2.76
Zn: 0.1250 0.3750 0.7500  4 In 2.76
Zn: 0.2500 0.3750 0.1250  4 In 2.76
Zn: 0.2500 0.8750 0.6250  4 In 2.76
Zn: 0.3750 0.1250 0.2500  4 In 2.76
Zn: 0.3750 0.7500 0.1250  4 In 2.76
Zn: 0.6250 0.2500 0.8750  4 In 2.76
Zn: 0.6250 0.8750 0.7500  4 In 2.76
Zn: 0.7500 0.1250 0.3750  4 In 2.76
Zn: 0.7500 0.6250 0.8750  4 In 2.76
Zn: 0.8750 0.6250 0.2500  4 In 2.76
Zn: 0.8750 0.7500 0.6250  4 In 2.76
In: 0.0585 0.2333 0.1239  2 Ge 2.68-2.82, 1 Zn 2.76
In: 0.0585 0.3252 0.9345  2 Ge 2.68-2.82, 1 Zn 2.76
In: 0.0655 0.6239 0.3906  2 Ge 2.68-2.82, 1 Zn 2.76
In: 0.0655 0.9415 0.6748  2 Ge 2.68-2.82, 1 Zn 2.76
In: 0.1094 0.7333 0.6748  2 Ge 2.68-2.82, 1 Zn 2.76
In: 0.1094 0.8761 0.4345  2 Ge 2.68-2.82, 1 Zn 2.76
In: 0.1239 0.0585 0.2333  2 Ge 2.68-2.82, 1 Zn 2.76
In: 0.1239 0.5655 0.8906  2 Ge 2.68-2.82, 1 Zn 2.76
In: 0.1748 0.2333 0.6094  2 Ge 2.68-2.82, 1 Zn 2.76
In: 0.1748 0.4415 0.5655  2 Ge 2.68-2.82, 1 Zn 2.76
In: 0.2333 0.1239 0.0585  2 Ge 2.68-2.82, 1 Zn 2.76
In: 0.2333 0.6094 0.1748  2 Ge 2.68-2.82, 1 Zn 2.76
In: 0.2667 0.3252 0.8906  2 Ge 2.68-2.82, 1 Zn 2.76
In: 0.2667 0.4415 0.3761  2 Ge 2.68-2.82, 1 Zn 2.76
In: 0.3252 0.8906 0.2667  2 Ge 2.68-2.82, 1 Zn 2.76
In: 0.3252 0.9345 0.0585  2 Ge 2.68-2.82, 1 Zn 2.76
In: 0.3761 0.2667 0.4415  2 Ge 2.68-2.82, 1 Zn 2.76
In: 0.3761 0.6094 0.9345  2 Ge 2.68-2.82, 1 Zn 2.76
In: 0.3906 0.0655 0.6239  2 Ge 2.68-2.82, 1 Zn 2.76
In: 0.3906 0.8252 0.7667  2 Ge 2.68-2.82, 1 Zn 2.76
In: 0.4345 0.1094 0.8761  2 Ge 2.68-2.82, 1 Zn 2.76
In: 0.4345 0.8252 0.5585  2 Ge 2.68-2.82, 1 Zn 2.76
In: 0.4415 0.3761 0.2667  2 Ge 2.68-2.82, 1 Zn 2.76
In: 0.4415 0.5655 0.1748  2 Ge 2.68-2.82, 1 Zn 2.76
In: 0.5585 0.4345 0.8252  2 Ge 2.68-2.82, 1 Zn 2.76
In: 0.5585 0.6239 0.7333  2 Ge 2.68-2.82, 1 Zn 2.76
In: 0.5655 0.1748 0.4415  2 Ge 2.68-2.82, 1 Zn 2.76
In: 0.5655 0.8906 0.1239  2 Ge 2.68-2.82, 1 Zn 2.76
In: 0.6094 0.1748 0.2333  2 Ge 2.68-2.82, 1 Zn 2.76
In: 0.6094 0.9345 0.3761  2 Ge 2.68-2.82, 1 Zn 2.76
In: 0.6239 0.3906 0.0655  2 Ge 2.68-2.82, 1 Zn 2.76
In: 0.6239 0.7333 0.5585  2 Ge 2.68-2.82, 1 Zn 2.76
In: 0.6748 0.0655 0.9415  2 Ge 2.68-2.82, 1 Zn 2.76
In: 0.6748 0.1094 0.7333  2 Ge 2.68-2.82, 1 Zn 2.76
In: 0.7333 0.5585 0.6239  2 Ge 2.68-2.82, 1 Zn 2.76
In: 0.7333 0.6748 0.1094  2 Ge 2.68-2.82, 1 Zn 2.76
In: 0.7667 0.3906 0.8252  2 Ge 2.68-2.82, 1 Zn 2.76
In: 0.7667 0.8761 0.9415  2 Ge 2.68-2.82, 1 Zn 2.76
In: 0.8252 0.5585 0.4345  2 Ge 2.68-2.82, 1 Zn 2.76
In: 0.8252 0.7667 0.3906  2 Ge 2.68-2.82, 1 Zn 2.76
In: 0.8761 0.4345 0.1094  2 Ge 2.68-2.82, 1 Zn 2.76
In: 0.8761 0.9415 0.7667  2 Ge 2.68-2.82, 1 Zn 2.76
In: 0.8906 0.1239 0.5655  2 Ge 2.68-2.82, 1 Zn 2.76
In: 0.8906 0.2667 0.3252  2 Ge 2.68-2.82, 1 Zn 2.76
In: 0.9345 0.0585 0.3252  2 Ge 2.68-2.82, 1 Zn 2.76
In: 0.9345 0.3761 0.6094  2 Ge 2.68-2.82, 1 Zn 2.76
In: 0.9415 0.6748 0.0655  2 Ge 2.68-2.82, 1 Zn 2.76
In: 0.9415 0.7667 0.8761  2 Ge 2.68-2.82, 1 Zn 2.76
Ge: 0.0000 0.0000 0.0000  6 In 2.82
Ge: 0.0000 0.0000 0.5000  6 In 2.82
Ge: 0.0000 0.5000 0.0000  6 In 2.82
Ge: 0.0000 0.5000 0.5000  6 In 2.82
Ge: 0.1250 0.7500 0.8750  4 In 2.68
Ge: 0.1250 0.8750 0.2500  4 In 2.68
Ge: 0.2500 0.1250 0.8750  4 In 2.68
Ge: 0.2500 0.6250 0.3750  4 In 2.68
Ge: 0.3750 0.2500 0.6250  4 In 2.68
Ge: 0.3750 0.6250 0.7500  4 In 2.68
Ge: 0.5000 0.0000 0.0000  6 In 2.82
Ge: 0.5000 0.0000 0.5000  6 In 2.82
Ge: 0.5000 0.5000 0.0000  6 In 2.82
Ge: 0.5000 0.5000 0.5000  6 In 2.82
Ge: 0.6250 0.3750 0.2500  4 In 2.68
Ge: 0.6250 0.7500 0.3750  4 In 2.68
Ge: 0.7500 0.3750 0.6250  4 In 2.68
Ge: 0.7500 0.8750 0.1250  4 In 2.68
Ge: 0.8750 0.1250 0.7500  4 In 2.68
Ge: 0.8750 0.2500 0.1250  4 In 2.68

Output
The magnetization comes out at 0.0 μB per cell. For the final energy, the calculation gives -0.1041 hartree per atom.